DFT (PBE) results for crystalline Ce2AlGe6 at its relaxed geometry.

Lattice parameters (Å, degrees): 6.0406 6.0406 10.6450 98.22 98.22 91.36
Element x y z (fractional)
Ce1 0.1616 0.6656 0.6635
Ce2 0.3344 0.8384 0.3365
Ce3 0.6656 0.1616 0.6635
Ce4 0.8384 0.3344 0.3365
Al1 0.1982 0.1982 0.7985
Al2 0.8018 0.8018 0.2015
Ge1 0.0660 0.4949 0.1166
Ge2 0.0674 0.0674 0.1165
Ge3 0.1484 0.1484 0.5583
Ge4 0.3647 0.3647 0.4111
Ge5 0.4928 0.4928 0.1169
Ge6 0.4949 0.0660 0.1166
Ge7 0.5051 0.9340 0.8834
Ge8 0.5072 0.5072 0.8831
Ge9 0.6353 0.6353 0.5889
Ge10 0.8516 0.8516 0.4417
Ge11 0.9326 0.9326 0.8835
Ge12 0.9340 0.5051 0.8834

Values from the calculation:
For the mass density, the calculation gives 6.49 g/cm3. The density of states at the Fermi level comes out at 1.23 states/eV per atom. The value obtained for the energy relative to the elements is -0.4378 eV per atom. As for the symmetry: C2/m (12).